DFT (GGA+U) results for a geometry-optimized MnInClF4 structure.

a b c (Å): 6.305 6.305 7.211
angles (deg): 104.12 104.12 80.16
Sites, in units of the cell vectors:
Mn 0.209 0.209 0.196
Mn 0.791 0.791 0.804
In 0.346 0.346 0.784
In 0.654 0.654 0.216
Cl 0.098 0.098 0.819
Cl 0.902 0.902 0.181
F 0.089 0.600 0.795
F 0.325 0.325 0.490
F 0.400 0.911 0.205
F 0.415 0.415 0.115
F 0.585 0.585 0.885
F 0.600 0.089 0.795
F 0.675 0.675 0.510
F 0.911 0.400 0.205

Summary:
SG: No. 12
crystal system: monoclinic
E: -5.056 eV per atom